No. 1
The following is a PBE calculation of an optimized crystal structure of NaCd9Pt2, from Alexandria via LeMat-Bulk.

Values from the calculation:
Space-group type: No. 141
E_form: -0.17 eV/atom
DFT total energy: -1.969 eV per atom
D(E_F): 10.40 states/eV/cell

```
data_NaCd9Pt2
_symmetry_space_group_name_H-M 'P 1'
_symmetry_Int_Tables_number 1
_cell_length_a 9.183
_cell_length_b 9.183
_cell_length_c 9.183
_cell_angle_alpha 99.96
_cell_angle_beta 99.96
_cell_angle_gamma 130.86
loop_
_symmetry_equiv_pos_as_xyz
'x,y,z'
loop_
_atom_site_label
_atom_site_type_symbol
_atom_site_fract_x
_atom_site_fract_y
_atom_site_fract_z
Na1 Na 0.375 0.625 0.750
Na2 Na 0.625 0.375 0.250
Cd1 Cd 0.125 0.875 0.250
Cd2 Cd 0.133 0.561 0.331
Cd3 Cd 0.133 0.803 0.572
Cd4 Cd 0.197 0.269 0.331
Cd5 Cd 0.197 0.867 0.928
Cd6 Cd 0.269 0.197 0.831
Cd7 Cd 0.269 0.439 0.072
Cd8 Cd 0.439 0.269 0.572
Cd9 Cd 0.439 0.867 0.169
Cd10 Cd 0.561 0.133 0.831
Cd11 Cd 0.561 0.731 0.428
Cd12 Cd 0.731 0.561 0.928
Cd13 Cd 0.731 0.803 0.169
Cd14 Cd 0.803 0.133 0.072
Cd15 Cd 0.803 0.731 0.669
Cd16 Cd 0.867 0.197 0.428
Cd17 Cd 0.867 0.439 0.669
Cd18 Cd 0.875 0.125 0.750
Pt1 Pt 0.000 0.000 0.000
Pt2 Pt 0.000 0.000 0.500
Pt3 Pt 0.000 0.500 0.000
Pt4 Pt 0.500 0.000 0.500
```

---

No. 2
The following is a PBE calculation of an optimized crystal structure of BeReHg3, from Alexandria via LeMat-Bulk.

Values from the calculation:
Space-group type: No. 221
Excess energy over the best structure of this formula in the dataset: 0.000 eV/f.u.
E_form: 1.26 eV/atom
DFT total energy: -2.153 eV per atom
D(E_F): 2.78 states/eV/cell

```
data_BeReHg3
_symmetry_space_group_name_H-M 'P 1'
_symmetry_Int_Tables_number 1
_cell_length_a 4.700
_cell_length_b 4.700
_cell_length_c 4.700
_cell_angle_alpha 90.00
_cell_angle_beta 90.00
_cell_angle_gamma 90.00
loop_
_symmetry_equiv_pos_as_xyz
'x,y,z'
loop_
_atom_site_label
_atom_site_type_symbol
_atom_site_fract_x
_atom_site_fract_y
_atom_site_fract_z
Be1 Be 0.000 0.000 0.000
Re1 Re 0.500 0.500 0.500
Hg1 Hg 0.000 0.000 0.500
Hg2 Hg 0.000 0.500 0.000
Hg3 Hg 0.500 0.000 0.000
```

---

No. 3
The following is a PBE calculation of an optimized crystal structure of NdTeS3, from Alexandria via LeMat-Bulk.

Values from the calculation:
Raw formation energy: -0.83 eV per atom
Space-group type: No. 11
DFT total energy: -4.885 eV per atom
D(E_F): 3.63 states/eV/cell

```
data_NdTeS3
_symmetry_space_group_name_H-M 'P 1'
_symmetry_Int_Tables_number 1
_cell_length_a 3.958
_cell_length_b 9.420
_cell_length_c 7.828
_cell_angle_alpha 90.00
_cell_angle_beta 95.03
_cell_angle_gamma 90.00
loop_
_symmetry_equiv_pos_as_xyz
'x,y,z'
loop_
_atom_site_label
_atom_site_type_symbol
_atom_site_fract_x
_atom_site_fract_y
_atom_site_fract_z
Nd1 Nd 0.243 0.250 0.061
Nd2 Nd 0.757 0.750 0.939
Te1 Te 0.351 0.750 0.367
Te2 Te 0.649 0.250 0.633
S1 S 0.210 0.750 0.686
S2 S 0.300 0.573 0.125
S3 S 0.300 0.927 0.125
S4 S 0.700 0.073 0.875
S5 S 0.700 0.427 0.875
S6 S 0.790 0.250 0.314
```

---

No. 4
The following is a PBE calculation of an optimized crystal structure of Ca2GaSe4, from Alexandria via LeMat-Bulk.

Values from the calculation:
Raw formation energy: -0.97 eV per atom
Space-group type: No. 139
DFT total energy: -3.965 eV per atom
D(E_F): 4.47 states/eV/cell

```
data_Ca2GaSe4
_symmetry_space_group_name_H-M 'P 1'
_symmetry_Int_Tables_number 1
_cell_length_a 8.085
_cell_length_b 8.085
_cell_length_c 8.085
_cell_angle_alpha 143.44
_cell_angle_beta 143.44
_cell_angle_gamma 52.67
loop_
_symmetry_equiv_pos_as_xyz
'x,y,z'
loop_
_atom_site_label
_atom_site_type_symbol
_atom_site_fract_x
_atom_site_fract_y
_atom_site_fract_z
Ca1 Ca 0.130 0.130 0.000
Ca2 Ca 0.870 0.870 0.000
Ga1 Ga 0.500 0.500 0.000
Se1 Se 0.000 0.500 0.500
Se2 Se 0.325 0.325 0.000
Se3 Se 0.500 0.000 0.500
Se4 Se 0.675 0.675 0.000
```

---

No. 5
The following is a PBE calculation of an optimized crystal structure of Pm3GeAs2Rh8, from Alexandria via LeMat-Bulk.

Values from the calculation:
Space-group type: No. 164
E_form: -0.62 eV/atom
DFT total energy: -6.832 eV per atom
D(E_F): 13.39 states/eV/cell

```
data_Pm3GeAs2Rh8
_symmetry_space_group_name_H-M 'P 1'
_symmetry_Int_Tables_number 1
_cell_length_a 5.463
_cell_length_b 5.463
_cell_length_c 9.663
_cell_angle_alpha 90.00
_cell_angle_beta 90.00
_cell_angle_gamma 120.00
loop_
_symmetry_equiv_pos_as_xyz
'x,y,z'
loop_
_atom_site_label
_atom_site_type_symbol
_atom_site_fract_x
_atom_site_fract_y
_atom_site_fract_z
Pm1 Pm 0.000 0.000 0.000
Pm2 Pm 0.333 0.667 0.561
Pm3 Pm 0.667 0.333 0.439
Ge1 Ge 0.000 0.000 0.500
As1 As 0.333 0.667 0.093
As2 As 0.667 0.333 0.907
Rh1 Rh 0.163 0.327 0.282
Rh2 Rh 0.163 0.837 0.282
Rh3 Rh 0.327 0.163 0.718
Rh4 Rh 0.333 0.667 0.846
Rh5 Rh 0.667 0.333 0.154
Rh6 Rh 0.673 0.837 0.282
Rh7 Rh 0.837 0.163 0.718
Rh8 Rh 0.837 0.673 0.718
```

---

No. 6
The following is a PBE calculation of an optimized crystal structure of NaOsCl5, from Alexandria via LeMat-Bulk.

Values from the calculation:
Raw formation energy: -0.74 eV per atom
Space-group type: No. 15
DFT total energy: -3.847 eV per atom
D(E_F): 5.14 states/eV/cell

```
data_NaOsCl5
_symmetry_space_group_name_H-M 'P 1'
_symmetry_Int_Tables_number 1
_cell_length_a 7.533
_cell_length_b 7.533
_cell_length_c 8.946
_cell_angle_alpha 106.05
_cell_angle_beta 106.05
_cell_angle_gamma 55.58
loop_
_symmetry_equiv_pos_as_xyz
'x,y,z'
loop_
_atom_site_label
_atom_site_type_symbol
_atom_site_fract_x
_atom_site_fract_y
_atom_site_fract_z
Na1 Na 0.019 0.981 0.750
Na2 Na 0.981 0.019 0.250
Os1 Os 0.500 0.500 0.000
Os2 Os 0.500 0.500 0.500
Cl1 Cl 0.119 0.673 0.496
Cl2 Cl 0.178 0.520 0.886
Cl3 Cl 0.327 0.881 0.004
Cl4 Cl 0.381 0.619 0.250
Cl5 Cl 0.480 0.822 0.614
Cl6 Cl 0.520 0.178 0.386
Cl7 Cl 0.619 0.381 0.750
Cl8 Cl 0.673 0.119 0.996
Cl9 Cl 0.822 0.480 0.114
Cl10 Cl 0.881 0.327 0.504
```

---

No. 7
The following is a PBE calculation of an optimized crystal structure of Zr2CrCl, from Alexandria via LeMat-Bulk.

Values from the calculation:
Raw formation energy: 0.59 eV per atom
Space-group type: No. 216
Excess energy over the best structure of this formula in the dataset: 3.958 eV/f.u.
DFT total energy: -6.553 eV per atom
D(E_F): 3.17 states/eV/cell

```
data_Zr2CrCl
_symmetry_space_group_name_H-M 'P 1'
_symmetry_Int_Tables_number 1
_cell_length_a 4.851
_cell_length_b 4.851
_cell_length_c 4.851
_cell_angle_alpha 60.00
_cell_angle_beta 60.00
_cell_angle_gamma 60.00
loop_
_symmetry_equiv_pos_as_xyz
'x,y,z'
loop_
_atom_site_label
_atom_site_type_symbol
_atom_site_fract_x
_atom_site_fract_y
_atom_site_fract_z
Zr1 Zr 0.000 0.000 0.000
Zr2 Zr 0.250 0.250 0.250
Cr1 Cr 0.500 0.500 0.500
Cl1 Cl 0.750 0.750 0.750
```

---

No. 8
The following is a PBE calculation of an optimized crystal structure of Sb2PtBr, from Alexandria via LeMat-Bulk.

Values from the calculation:
Raw formation energy: -0.17 eV per atom
Space-group type: No. 44
Excess energy over the best structure of this formula in the dataset: 0.959 eV/f.u.
DFT total energy: -4.164 eV per atom
D(E_F): 1.93 states/eV/cell

```
data_Sb2PtBr
_symmetry_space_group_name_H-M 'P 1'
_symmetry_Int_Tables_number 1
_cell_length_a 8.127
_cell_length_b 8.127
_cell_length_c 8.127
_cell_angle_alpha 152.71
_cell_angle_beta 152.67
_cell_angle_gamma 39.01
loop_
_symmetry_equiv_pos_as_xyz
'x,y,z'
loop_
_atom_site_label
_atom_site_type_symbol
_atom_site_fract_x
_atom_site_fract_y
_atom_site_fract_z
Sb1 Sb 0.000 0.000 0.000
Sb2 Sb 0.831 0.331 0.500
Pt1 Pt 0.456 0.456 0.000
Br1 Br 0.217 0.717 0.500
```

---

No. 9
The following is a PBE calculation of an optimized crystal structure of DyHo6In5, from Alexandria via LeMat-Bulk.

Values from the calculation:
Space-group type: No. 71
E_form: -0.38 eV/atom
DFT total energy: -4.191 eV per atom
D(E_F): 12.10 states/eV/cell

```
data_DyHo6In5
_symmetry_space_group_name_H-M 'P 1'
_symmetry_Int_Tables_number 1
_cell_length_a 9.022
_cell_length_b 9.022
_cell_length_c 9.022
_cell_angle_alpha 148.18
_cell_angle_beta 121.71
_cell_angle_gamma 67.96
loop_
_symmetry_equiv_pos_as_xyz
'x,y,z'
loop_
_atom_site_label
_atom_site_type_symbol
_atom_site_fract_x
_atom_site_fract_y
_atom_site_fract_z
Dy1 Dy 0.000 0.000 0.000
Ho1 Ho 0.093 0.830 0.263
Ho2 Ho 0.272 0.500 0.772
Ho3 Ho 0.433 0.170 0.263
Ho4 Ho 0.567 0.830 0.737
Ho5 Ho 0.728 0.500 0.228
Ho6 Ho 0.907 0.170 0.737
In1 In 0.152 0.652 0.500
In2 In 0.323 0.323 0.000
In3 In 0.500 0.000 0.500
In4 In 0.677 0.677 0.000
In5 In 0.848 0.348 0.500
```

---

No. 10
The following is a PBE calculation of an optimized crystal structure of Y2Sc2Pb, from Alexandria via LeMat-Bulk.

Values from the calculation:
Space-group type: No. 127
Excess energy over the best structure of this formula in the dataset: 0.000 eV/f.u.
E_form: -0.12 eV/atom
DFT total energy: -5.981 eV per atom
D(E_F): 16.47 states/eV/cell

```
data_Y2Sc2Pb
_symmetry_space_group_name_H-M 'P 1'
_symmetry_Int_Tables_number 1
_cell_length_a 7.758
_cell_length_b 7.758
_cell_length_c 4.681
_cell_angle_alpha 90.00
_cell_angle_beta 90.00
_cell_angle_gamma 90.00
loop_
_symmetry_equiv_pos_as_xyz
'x,y,z'
loop_
_atom_site_label
_atom_site_type_symbol
_atom_site_fract_x
_atom_site_fract_y
_atom_site_fract_z
Y1 Y 0.156 0.344 0.000
Y2 Y 0.344 0.844 0.000
Y3 Y 0.656 0.156 0.000
Y4 Y 0.844 0.656 0.000
Sc1 Sc 0.142 0.642 0.500
Sc2 Sc 0.358 0.142 0.500
Sc3 Sc 0.642 0.858 0.500
Sc4 Sc 0.858 0.358 0.500
Pb1 Pb 0.000 0.000 0.500
Pb2 Pb 0.500 0.500 0.500
```

---

No. 11
The following is a PBE calculation of an optimized crystal structure of La3PbN2, from Alexandria via LeMat-Bulk.

Values from the calculation:
Raw formation energy: -1.11 eV per atom
Space-group type: No. 59
DFT total energy: -6.965 eV per atom
D(E_F): 5.06 states/eV/cell

```
data_La3PbN2
_symmetry_space_group_name_H-M 'P 1'
_symmetry_Int_Tables_number 1
_cell_length_a 4.127
_cell_length_b 12.784
_cell_length_c 5.981
_cell_angle_alpha 90.00
_cell_angle_beta 90.00
_cell_angle_gamma 90.00
loop_
_symmetry_equiv_pos_as_xyz
'x,y,z'
loop_
_atom_site_label
_atom_site_type_symbol
_atom_site_fract_x
_atom_site_fract_y
_atom_site_fract_z
La1 La 0.250 0.022 0.236
La2 La 0.250 0.250 0.799
La3 La 0.250 0.478 0.236
La4 La 0.750 0.522 0.764
La5 La 0.750 0.750 0.201
La6 La 0.750 0.978 0.764
Pb1 Pb 0.250 0.750 0.657
Pb2 Pb 0.750 0.250 0.343
N1 N 0.250 0.065 0.857
N2 N 0.250 0.435 0.857
N3 N 0.750 0.565 0.143
N4 N 0.750 0.935 0.143
```

---

No. 12
The following is a PBE calculation of an optimized crystal structure of Na3ErTl2O6, from Alexandria via LeMat-Bulk.

Values from the calculation:
Raw formation energy: -1.64 eV per atom
Space-group type: No. 12
DFT total energy: -5.227 eV per atom

```
data_Na3ErTl2O6
_symmetry_space_group_name_H-M 'P 1'
_symmetry_Int_Tables_number 1
_cell_length_a 5.867
_cell_length_b 5.867
_cell_length_c 5.964
_cell_angle_alpha 99.44
_cell_angle_beta 99.44
_cell_angle_gamma 119.98
loop_
_symmetry_equiv_pos_as_xyz
'x,y,z'
loop_
_atom_site_label
_atom_site_type_symbol
_atom_site_fract_x
_atom_site_fract_y
_atom_site_fract_z
Na1 Na 0.000 0.000 0.000
Na2 Na 0.328 0.672 0.000
Na3 Na 0.672 0.328 0.000
Er1 Er 0.500 0.500 0.500
Tl1 Tl 0.166 0.834 0.500
Tl2 Tl 0.834 0.166 0.500
O1 O 0.100 0.426 0.277
O2 O 0.248 0.248 0.723
O3 O 0.426 0.100 0.277
O4 O 0.574 0.900 0.723
O5 O 0.752 0.752 0.277
O6 O 0.900 0.574 0.723
```

---

Q: Which of these has the lowest DFT total energy?
A: La3PbN2